# 1
The following is a PBE calculation of a relaxed HoPu2H crystal, from Alexandria via LeMat-Bulk.

Values from the calculation:
Relative energy among the computed polymorphs   0.0176 eV per atom
Space group   R-3m, No. 166
DOS(E_F)   2.477 states/eV/atom

Structure (POSCAR):
```
HoPu2H
1.0
-0.910 -3.548 -0.397
0.305 -1.622 -3.294
5.738 -3.401 0.145
H Ho Pu
1 1 2
Cartesian
0.000 0.000 0.000 H
2.566 -4.286 -1.774 Ho
0.314 -1.869 -1.111 Pu
4.819 -6.702 -2.436 Pu
```

# 2
The following is a PBE calculation of a relaxed NaCrCuS3 crystal, from Alexandria via LeMat-Bulk.

Values from the calculation:
Formation energy (no corrections)   -0.669 eV per atom
Space group   P2_1/m, No. 11
DOS(E_F)   0.345 states/eV/atom

Structure (POSCAR):
```
NaCrCuS3
1.0
-1.437 -2.991 1.256
1.561 -3.475 -6.485
6.711 -0.947 5.423
Na Cr Cu S
2 2 2 6
Cartesian
1.686 -1.771 0.217 Na
5.149 -5.641 -0.023 Na
1.760 -3.266 -3.257 Cr
5.075 -4.146 3.451 Cr
3.838 -1.610 3.063 Cu
2.997 -5.802 -2.869 Cu
1.182 -5.450 -4.105 S
5.653 -1.963 4.299 S
3.835 -3.792 -2.135 S
3.000 -3.620 2.329 S
0.545 -3.960 -1.287 S
6.290 -3.453 1.481 S
```

# 3
The following is a PBE calculation of a relaxed FeCuAs2 crystal, from Alexandria via LeMat-Bulk.

Values from the calculation:
Relative energy among the computed polymorphs   0.0926 eV per atom
E_form   0.167 eV/atom
Space group   Cmm2, No. 35
DOS(E_F)   0.481 states/eV/atom

Structure (POSCAR):
```
FeCuAs2
1.0
-1.647 -1.133 -1.854
-0.475 -2.089 1.687
-6.996 4.428 3.511
As Cu Fe
2 1 1
Cartesian
-6.471 4.096 3.248 As
-3.311 -0.187 1.045 As
-3.693 2.337 1.854 Cu
-6.138 1.602 2.464 Fe
```

# 4
The following is a PBE calculation of a relaxed RbTaSbSe6 crystal, from Alexandria via LeMat-Bulk.

Values from the calculation:
Formation energy (no corrections)   -0.521 eV per atom
Space group   P1, No. 1
DOS(E_F)   0.118 states/eV/atom

Structure (POSCAR):
```
RbTaSbSe6
1.0
7.257 0.829 0.378
4.348 5.871 -0.379
0.438 -0.759 7.636
Rb Ta Sb Se
1 1 1 6
Cartesian
12.017 5.924 7.634 Rb
7.774 3.983 3.818 Ta
4.420 2.047 3.818 Sb
2.211 2.279 1.771 Se
3.517 0.018 5.864 Se
6.748 2.020 5.093 Se
9.549 3.697 5.761 Se
5.559 4.078 2.545 Se
8.415 5.663 1.875 Se
```

# 5
The following is a PBE calculation of a relaxed Li3Np3BeSe8 crystal, from Alexandria via LeMat-Bulk.

Values from the calculation:
Formation energy (no corrections)   -0.997 eV per atom
Space group   C2/m, No. 12
DOS(E_F)   1.903 states/eV/atom

Structure (POSCAR):
```
Li3Np3BeSe8
1.0
7.999 0.000 0.000
-4.000 6.925 -0.026
0.000 -4.596 6.457
Li Np Be Se
3 3 1 8
Cartesian
0.000 0.000 0.000 Li
-2.000 3.462 -0.013 Li
2.000 3.462 -0.013 Li
4.000 -2.298 3.229 Np
2.000 1.165 3.216 Np
-2.000 1.165 3.216 Np
0.000 -2.298 3.229 Be
0.000 2.312 1.538 Se
4.000 0.017 4.893 Se
4.000 2.508 1.722 Se
0.000 -0.179 4.709 Se
2.158 5.684 1.704 Se
1.841 -3.354 4.728 Se
-2.158 5.683 1.703 Se
6.158 -3.354 4.728 Se
```

# 6
The following is a PBE calculation of a relaxed RbBa3V crystal, from Alexandria via LeMat-Bulk.

Values from the calculation:
Relative energy among the computed polymorphs   0.0000 eV per atom
E_form   0.523 eV/atom
Space group   Pm-3m, No. 221
DOS(E_F)   0.987 states/eV/atom

Structure (POSCAR):
```
RbBa3V
1.0
6.810 0.000 0.000
0.000 6.810 0.000
0.000 0.000 6.810
Ba Rb V
3 1 1
Cartesian
0.000 3.405 0.000 Ba
0.000 0.000 3.405 Ba
3.405 0.000 0.000 Ba
3.405 3.405 3.405 Rb
0.000 0.000 0.000 V
```